[1]
First-principles (PBE) data for a relaxed Cs2Rb4F crystal, as listed in Alexandria.

a = 6.1784 Å, b = 6.1784 Å, c = 27.5518 Å
α = 90.00°, β = 90.00°, γ = 90.00°
Sites, in units of the cell vectors:
1 Cs 0.0000 0.0000 0.1917
2 Cs 0.0000 0.0000 0.8083
3 Cs 0.5000 0.5000 0.3083
4 Cs 0.5000 0.5000 0.6917
5 Rb 0.0000 0.0000 0.3948
6 Rb 0.0000 0.0000 0.6052
7 Rb 0.0000 0.5000 0.0000
8 Rb 0.0000 0.5000 0.5000
9 Rb 0.5000 0.0000 0.0000
10 Rb 0.5000 0.0000 0.5000
11 Rb 0.5000 0.5000 0.1052
12 Rb 0.5000 0.5000 0.8948
13 F 0.0000 0.0000 0.5000
14 F 0.5000 0.5000 0.0000

Formation energy (no corrections)   -686 meV/atom

[2]
First-principles (PBE) data for a relaxed TeHRh crystal, as listed in Alexandria.

a = 10.5377 Å, b = 3.2111 Å, c = 6.4872 Å
α = 90.00°, β = 116.48°, γ = 90.00°
Sites, in units of the cell vectors:
1 Te 0.0616 0.0000 0.3012
2 Te 0.4384 0.5000 0.6988
3 Te 0.5616 0.5000 0.3012
4 Te 0.9384 0.0000 0.6988
5 H 0.2424 0.5000 0.8708
6 H 0.2576 0.0000 0.1292
7 H 0.7424 0.0000 0.8708
8 H 0.7576 0.5000 0.1292
9 Rh 0.1341 0.5000 0.0046
10 Rh 0.3659 0.0000 0.9954
11 Rh 0.6341 0.0000 0.0046
12 Rh 0.8659 0.5000 0.9954

Energy above the lowest structure with this stoichiometry   22 meV per atom

[3]
First-principles (PBE) data for a relaxed Sc3VSi crystal, as listed in Alexandria.

a = 4.8000 Å, b = 4.8000 Å, c = 4.8000 Å
α = 90.00°, β = 90.00°, γ = 90.00°
Sites, in units of the cell vectors:
1 Sc 0.0000 0.0000 0.5000
2 Sc 0.0000 0.5000 0.0000
3 Sc 0.5000 0.0000 0.0000
4 V 0.0000 0.0000 0.0000
5 Si 0.5000 0.5000 0.5000

Energy above the lowest structure with this stoichiometry   214 meV per atom
Formation energy (no corrections)   581 meV/atom

[4]
First-principles (PBE) data for a relaxed Tb3Er3Tl2 crystal, as listed in Alexandria.

a = 4.8278 Å, b = 4.8374 Å, c = 9.7085 Å
α = 90.00°, β = 90.00°, γ = 90.00°
Sites, in units of the cell vectors:
1 Tb 0.0000 0.0000 0.0000
2 Tb 0.0000 0.0000 0.5000
3 Tb 0.5000 0.5000 0.0000
4 Er 0.5000 0.0000 0.2509
5 Er 0.5000 0.0000 0.7491
6 Er 0.5000 0.5000 0.5000
7 Tl 0.0000 0.5000 0.2512
8 Tl 0.0000 0.5000 0.7488

Energy above the lowest structure with this stoichiometry   0 meV per atom
ΔH_f (0 K)   -0.18 eV/atom

[5]
First-principles (PBE) data for a relaxed AlAg2Ir crystal, as listed in Alexandria.

a = 5.3106 Å, b = 9.9213 Å, c = 2.9269 Å
α = 90.00°, β = 122.01°, γ = 90.00°
Sites, in units of the cell vectors:
1 Al 0.0000 0.0000 0.0000
2 Al 0.5000 0.5000 0.0000
3 Ag 0.2500 0.2500 0.5000
4 Ag 0.2500 0.7500 0.5000
5 Ag 0.7500 0.2500 0.5000
6 Ag 0.7500 0.7500 0.5000
7 Ir 0.0000 0.5000 0.0000
8 Ir 0.5000 0.0000 0.0000

ΔH_f (0 K)   -0.02 eV/atom

[6]
First-principles (PBE) data for a relaxed MgCr2Ni crystal, as listed in Alexandria.

a = 4.8065 Å, b = 8.7662 Å, c = 2.5007 Å
α = 90.00°, β = 106.14°, γ = 90.00°
Sites, in units of the cell vectors:
1 Mg 0.0000 0.0000 0.0000
2 Mg 0.5000 0.5000 0.0000
3 Cr 0.2500 0.2500 0.5000
4 Cr 0.2500 0.7500 0.5000
5 Cr 0.7500 0.2500 0.5000
6 Cr 0.7500 0.7500 0.5000
7 Ni 0.0000 0.5000 0.0000
8 Ni 0.5000 0.0000 0.0000

ΔH_f (0 K)   0.37 eV/atom

[7]
First-principles (PBE) data for a relaxed CrCo2Ni2 crystal, as listed in Alexandria.

a = 6.7593 Å, b = 6.7593 Å, c = 2.5481 Å
α = 90.00°, β = 90.00°, γ = 90.00°
Sites, in units of the cell vectors:
1 Cr 0.0000 0.0000 0.0000
2 Cr 0.5000 0.5000 0.0000
3 Co 0.1719 0.3281 0.5000
4 Co 0.3281 0.8281 0.5000
5 Co 0.6719 0.1719 0.5000
6 Co 0.8281 0.6719 0.5000
7 Ni 0.1252 0.6252 0.0000
8 Ni 0.3748 0.1252 0.0000
9 Ni 0.6252 0.8748 0.0000
10 Ni 0.8748 0.3748 0.0000

Energy above the lowest structure with this stoichiometry   151 meV per atom
ΔH_f (0 K)   0.28 eV/atom

[8]
First-principles (PBE) data for a relaxed Sm2Tm2Sb5 crystal, as listed in Alexandria.

a = 8.8560 Å, b = 8.8560 Å, c = 8.2348 Å
α = 90.00°, β = 90.00°, γ = 53.85°
Sites, in units of the cell vectors:
1 Sm 0.1920 0.1920 0.0000
2 Sm 0.3080 0.3080 0.5000
3 Sm 0.6920 0.6920 0.5000
4 Sm 0.8080 0.8080 0.0000
5 Tm 0.1553 0.8447 0.6600
6 Tm 0.3447 0.6553 0.1600
7 Tm 0.6553 0.3447 0.8400
8 Tm 0.8447 0.1553 0.3400
9 Sb 0.0000 0.0000 0.0000
10 Sb 0.0103 0.7171 0.3538
11 Sb 0.2171 0.5103 0.8538
12 Sb 0.2829 0.9897 0.3538
13 Sb 0.4897 0.7829 0.8538
14 Sb 0.5000 0.5000 0.5000
15 Sb 0.5103 0.2171 0.1462
16 Sb 0.7171 0.0103 0.6462
17 Sb 0.7829 0.4897 0.1462
18 Sb 0.9897 0.2829 0.6462

Formation energy (no corrections)   -839 meV/atom

Number 1: density 1979 kg/m³, total moment 0.0 μB per formula unit. Number 2: density 7826 kg/m³, total moment 0.0 μB per formula unit. Number 3: density 3212 kg/m³, total moment 0.1 μB per formula unit. Number 4: density 10161 kg/m³, total moment 1.5 μB per formula unit. Number 5: density 11046 kg/m³, total moment 0.0 μB per formula unit. Number 6: density 6136 kg/m³, total moment 0.7 μB per formula unit. Number 7: density 8194 kg/m³, total moment 1.6 μB per formula unit. Number 8: density 7943 kg/m³, total moment 0.0 μB per formula unit.